## Mg2Zn11 (SCAN)

Data for Mg2Zn11 at its PBEsol-relaxed geometry.

Geometry as extended XYZ:
```
39
Lattice="-6.505 -4.994 1.726 4.530 -3.862 5.899 -2.720 5.512 5.697" Properties=species:S:1:pos:R:3 pbc="T T T"
Zn -7.077 0.973 6.072
Zn -2.973 -0.404 7.972
Zn 1.632 0.205 6.745
Zn 0.178 1.445 4.851
Zn -0.852 -0.523 6.264
Zn -1.289 3.447 5.117
Zn -4.014 3.325 5.259
Zn 0.000 0.000 0.000
Zn 0.656 -2.628 6.329
Zn 2.310 -3.625 4.610
Zn -2.148 -0.455 1.352
Zn -3.373 -2.402 9.571
Zn -2.510 1.466 6.240
Zn -4.285 -5.231 3.016
Zn -5.212 -2.807 2.164
Zn 0.177 -1.806 1.832
Zn 0.056 -3.626 3.536
Zn -0.532 -0.221 8.817
Zn 3.099 -1.797 6.480
Zn -1.322 -0.942 3.752
Zn -5.049 1.144 4.626
Zn -0.008 0.852 2.434
Zn -3.389 -0.784 5.305
Zn -3.844 -2.820 7.058
Zn -2.032 -5.230 4.090
Zn -4.164 -3.123 4.506
Zn -2.185 -4.810 7.083
Zn -1.722 -2.940 5.351
Zn -1.306 -2.560 8.018
Zn 1.818 0.799 9.163
Zn -2.152 -7.050 5.794
Zn -4.176 -0.626 2.797
Zn -5.352 -0.715 6.994
Mg 0.084 2.490 7.519
Mg -2.648 1.767 3.190
Mg -6.577 -1.249 4.233
Mg -2.356 -3.262 2.031
Mg 0.380 -5.594 5.594
Mg 1.726 -0.839 4.078
```

Calculated values
Fermi-level density of states	7.60	states/eV/cell
size of the total moment	0.00	μB per formula unit
E_form	-0.118	eV/atom
space-group type	Pm-3 (200)